First-principles (PBE-GGA) data for an optimized crystal structure of MgAlOF2, as listed in Alexandria via LeMat-Bulk.

Cell: 3.725 3.725 4.322 Å, 90.00 90.00 90.00°
Atoms (fractional coordinates):
Al 0.500 0.500 0.500
O 0.000 0.000 0.500
F 0.500 0.000 0.000
F 0.000 0.500 0.000
Mg 0.000 0.000 0.000

## Properties
**Distance to the lowest polymorph of the same formula**: 6.345 kcal/mol of atoms
**Symmetry**: P4/mmm, No. 123
**N(E_F)**: 0.288 states/eV/atom
**Formation energy from raw total energies**: -2.099 eV/atom


First-principles (PBE-GGA) data for an optimized crystal structure of MgAlOF2, as listed in Alexandria via LeMat-Bulk.

Cell: 4.039 4.039 3.543 Å, 90.00 90.00 90.00°
Atoms (fractional coordinates):
Mg 0.500 0.500 0.500
F 0.500 0.000 0.000
F 0.000 0.500 0.000
O 0.000 0.000 0.500
Al 0.000 0.000 0.000

## Properties
**Distance to the lowest polymorph of the same formula**: 0.000 kcal/mol of atoms
**Symmetry**: P4/mmm, No. 123
**N(E_F)**: 0.244 states/eV/atom
**Formation energy from raw total energies**: -2.374 eV/atom


First-principles (PBE-GGA) data for an optimized crystal structure of Mg2AlOsF, as listed in Alexandria via LeMat-Bulk.

Cell: 5.199 4.488 5.199 Å, 90.00 90.00 90.00°
Atoms (fractional coordinates):
Mg 0.000 0.000 0.500
Mg 0.500 0.000 0.000
Os 0.000 0.500 0.000
Al 0.000 0.000 0.000
F 0.500 0.500 0.500

## Properties
**Symmetry**: P4/mmm, No. 123
**N(E_F)**: 0.464 states/eV/atom
**Formation energy from raw total energies**: 0.544 eV/atom


First-principles (PBE-GGA) data for an optimized crystal structure of MgAlPtF2, as listed in Alexandria via LeMat-Bulk.

Cell: 3.720 5.459 3.720 Å, 90.00 90.00 90.00°
Atoms (fractional coordinates):
Pt 0.000 0.500 0.000
F 0.000 0.000 0.500
F 0.500 0.000 0.000
Al 0.000 0.000 0.000
Mg 0.500 0.500 0.500

## Properties
**Symmetry**: P4/mmm, No. 123
**N(E_F)**: 0.277 states/eV/atom
**Formation energy from raw total energies**: -1.774 eV/atom


First-principles (PBE-GGA) data for an optimized crystal structure of Rb2MgAlF6, as listed in Alexandria via LeMat-Bulk.

Cell: 6.344 7.048 7.756 Å, 90.00 90.00 90.00°
Atoms (fractional coordinates):
Mg 0.000 0.841 0.500
Mg 0.500 0.159 0.000
F 0.702 0.321 0.500
F 0.000 0.874 0.239
F 0.500 0.126 0.739
F 0.293 0.950 0.500
F 0.793 0.050 0.000
F 0.202 0.679 0.000
F 0.798 0.679 0.000
F 0.207 0.050 0.000
F 0.000 0.874 0.761
F 0.500 0.126 0.261
F 0.707 0.950 0.500
F 0.298 0.321 0.500
Rb 0.500 0.669 0.739
Rb 0.500 0.669 0.261
Rb 0.000 0.331 0.761
Rb 0.000 0.331 0.239
Al 0.000 0.859 0.000
Al 0.500 0.141 0.500

## Properties
**Distance to the lowest polymorph of the same formula**: 0.000 kcal/mol of atoms
**Symmetry**: Pmmn, No. 59
**N(E_F)**: 0.146 states/eV/atom
**Formation energy from raw total energies**: -2.978 eV/atom


First-principles (PBE-GGA) data for an optimized crystal structure of Rb2MgAlF6, as listed in Alexandria via LeMat-Bulk.

Cell: 5.934 5.934 5.937 Å, 60.01 60.01 90.00°
Atoms (fractional coordinates):
Rb 0.750 0.250 0.500
Rb 0.250 0.750 0.500
F 0.247 0.247 0.505
F 0.752 0.752 0.000
F 0.753 0.753 0.495
F 0.248 0.248 0.000
F 0.752 0.248 0.000
F 0.248 0.752 0.000
Al 0.000 0.000 0.000
Mg 0.500 0.500 0.000

## Properties
**Distance to the lowest polymorph of the same formula**: 2.339 kcal/mol of atoms
**Symmetry**: Fm-3m, No. 225
**N(E_F)**: 0.265 states/eV/atom
**Formation energy from raw total energies**: -2.877 eV/atom


First-principles (PBE-GGA) data for an optimized crystal structure of MgAlS2F, as listed in Alexandria via LeMat-Bulk.

Cell: 4.730 3.631 4.730 Å, 90.00 90.00 90.00°
Atoms (fractional coordinates):
Mg 0.500 0.500 0.500
S 0.000 0.000 0.500
S 0.500 0.000 0.000
Al 0.000 0.000 0.000
F 0.000 0.500 0.000

## Properties
**Symmetry**: P4/mmm, No. 123
**N(E_F)**: 0.039 states/eV/atom
**Formation energy from raw total energies**: -1.482 eV/atom


First-principles (PBE-GGA) data for an optimized crystal structure of MgAlSe2F, as listed in Alexandria via LeMat-Bulk.

Cell: 5.012 3.683 5.012 Å, 90.00 90.00 90.00°
Atoms (fractional coordinates):
Se 0.500 0.000 0.000
Se 0.000 0.000 0.500
F 0.000 0.500 0.000
Mg 0.500 0.500 0.500
Al 0.000 0.000 0.000

## Properties
**Symmetry**: P4/mmm, No. 123
**N(E_F)**: 0.049 states/eV/atom
**Formation energy from raw total energies**: -1.323 eV/atom


First-principles (PBE-GGA) data for an optimized crystal structure of YMgAlF2, as listed in Alexandria via LeMat-Bulk.

Cell: 4.187 6.290 4.187 Å, 90.00 90.00 90.00°
Atoms (fractional coordinates):
F 0.000 0.000 0.500
F 0.500 0.000 0.000
Al 0.000 0.000 0.000
Mg 0.500 0.500 0.500
Y 0.000 0.500 0.000

## Properties
**Symmetry**: P4/mmm, No. 123
**N(E_F)**: 0.711 states/eV/atom
**Formation energy from raw total energies**: -0.942 eV/atom


First-principles (PBE-GGA) data for an optimized crystal structure of MgAlZnF2, as listed in Alexandria via LeMat-Bulk.

Cell: 3.755 5.743 3.755 Å, 90.00 90.00 90.00°
Atoms (fractional coordinates):
F 0.500 0.000 0.000
F 0.000 0.000 0.500
Al 0.000 0.000 0.000
Mg 0.500 0.500 0.500
Zn 0.000 0.500 0.000

## Properties
**Symmetry**: P4/mmm, No. 123
**N(E_F)**: 0.495 states/eV/atom
**Formation energy from raw total energies**: -1.422 eV/atom